No. 1
Na2CaHAu GGA-PBE relaxed; crystal system = tetragonal; DOS(E_F) = 0.643 states/eV per atom; total DFT energy (no corrections) = -2.536 eV/atom
1.0
4.582 0.000 0.000
0.000 4.582 0.000
0.000 0.000 4.884
Na Ca H Au
2 1 1 1
Direct
0.000 0.500 0.000
0.500 0.000 0.000
0.000 0.000 0.500
0.000 0.000 0.000
0.500 0.500 0.500



No. 2
Ca3Tl2Cd GGA-PBE relaxed; energy of formation = -0.42 eV per atom; crystal system = tetragonal; DOS(E_F) = 0.458 states/eV per atom
1.0
3.872 0.000 0.000
0.000 3.872 0.000
0.000 0.000 11.619
Ca Tl Cd
3 2 1
Direct
0.000 0.000 0.000
0.000 0.000 0.336
0.000 0.000 0.664
0.500 0.500 0.168
0.500 0.500 0.832
0.500 0.500 0.500